Crystalline CdFeCo2 at its relaxed geometry, computed with GGA-PBE. Values from VASP.

```
&SYSTEM
  ibrav = 0, nat = 4, ntyp = 3
/
ATOMIC_SPECIES
Co 58.93 Co.upf
Fe 55.84 Fe.upf
Cd 112.41 Cd.upf
CELL_PARAMETERS angstrom
4.9439 -0.0173 -0.0170
2.1456 4.4541 0.0170
-3.0092 -3.0741 2.4367
ATOMIC_POSITIONS crystal
Co 0.4796 0.4796 0.0000
Fe 0.2500 0.7500 0.5000
Co 0.0204 0.0204 0.0000
Cd 0.7500 0.2500 0.5000
```

## Properties
- D(E_F) (states/eV/cell) = 3.85
- raw total energy (eV per formula unit) = -22.4
- space group = Immm, No. 71
- formation enthalpy at 0 K (eV per atom) = 0.289